# Cu2Hg2O3 | Alexandria via LeMat-Bulk | PBE-GGA | relaxed
data_Cu2Hg2O3
_space_group_name_H-M_alt 'C 1 2/m 1'
_space_group_IT_number 12
_cell_length_a 11.792
_cell_length_b 3.887
_cell_length_c 5.865
_cell_angle_alpha 90.00
_cell_angle_beta 92.15
_cell_angle_gamma 90.00
loop_
_space_group_symop_operation_xyz
'x,y,z'
'-x,-y,-z'
'-x,y,-z'
'x,-y,z'
'x+1/2,y+1/2,z'
'-x+1/2,-y+1/2,-z'
'-x+1/2,y+1/2,-z'
'x+1/2,-y+1/2,z'
loop_
_atom_site_label
_atom_site_type_symbol
_atom_site_fract_x
_atom_site_fract_y
_atom_site_fract_z
Cu1 Cu 0.161 0.000 0.477
Hg1 Hg 0.040 0.500 0.794
O1 O 0.000 0.000 0.500
O2 O 0.175 0.500 0.513
# **Calculated total energy**: -3.715 eV/atom
# **Raw formation energy**: -0.33 eV/atom

***

# SmHoRuPt | Alexandria via LeMat-Bulk | PBE-GGA | relaxed
data_SmHoRuPt
_space_group_name_H-M_alt 'P 4 m m'
_space_group_IT_number 99
_cell_length_a 3.483
_cell_length_b 3.483
_cell_length_c 6.914
_cell_angle_alpha 90.00
_cell_angle_beta 90.00
_cell_angle_gamma 90.00
loop_
_space_group_symop_operation_xyz
'x,y,z'
'-y,x,z'
'-x,-y,z'
'y,-x,z'
'-x,y,z'
'y,x,z'
'x,-y,z'
'-y,-x,z'
loop_
_atom_site_label
_atom_site_type_symbol
_atom_site_fract_x
_atom_site_fract_y
_atom_site_fract_z
Sm1 Sm 0.000 0.000 0.000
Ho1 Ho 0.000 0.000 0.489
Ru1 Ru 0.500 0.500 0.252
Pt1 Pt 0.500 0.500 0.732
# **Calculated total energy**: -6.919 eV/atom
# **ΔE to the lowest computed polymorph**: 0 meV/atom
# **Energy relative to the elements**: -0.77 eV/atom

***

# Cd3CuAg3 | Alexandria via LeMat-Bulk | PBE-GGA | relaxed
data_Cd3CuAg3
_space_group_name_H-M_alt 'C 1 2/m 1'
_space_group_IT_number 12
_cell_length_a 8.955
_cell_length_b 7.425
_cell_length_c 8.331
_cell_angle_alpha 90.00
_cell_angle_beta 90.02
_cell_angle_gamma 90.00
loop_
_space_group_symop_operation_xyz
'x,y,z'
'-x,-y,-z'
'-x,y,-z'
'x,-y,z'
'x+1/2,y+1/2,z'
'-x+1/2,-y+1/2,-z'
'-x+1/2,y+1/2,-z'
'x+1/2,-y+1/2,z'
loop_
_atom_site_label
_atom_site_type_symbol
_atom_site_fract_x
_atom_site_fract_y
_atom_site_fract_z
Cd1 Cd 0.000 0.198 0.000
Cd2 Cd 0.000 0.200 0.500
Cd3 Cd 0.220 0.500 0.500
Cu1 Cu 0.223 0.500 0.000
Ag1 Ag 0.000 0.500 0.235
Ag2 Ag 0.250 0.250 0.233
# **Calculated total energy**: -2.151 eV/atom
# **Energy relative to the elements**: 0.05 eV/atom

***

# Tb3Er4PuS8 | Alexandria via LeMat-Bulk | PBE-GGA | relaxed
data_Tb3Er4PuS8
_space_group_name_H-M_alt 'R -3 m'
_space_group_IT_number 166
_space_group_name_Hall '-R 3 2"'
_cell_length_a 7.7941
_cell_length_b 7.7941
_cell_length_c 19.1142
_cell_angle_alpha 90.00
_cell_angle_beta 90.00
_cell_angle_gamma 120.00
loop_
_atom_site_label
_atom_site_type_symbol
_atom_site_fract_x
_atom_site_fract_y
_atom_site_fract_z
Tb1 Tb 0.0000 0.5000 0.0000
Er1 Er 0.0000 0.0000 0.5000
Er2 Er 0.0000 0.5000 0.5000
Pu1 Pu 0.0000 0.0000 0.0000
S1 S 0.0000 0.0000 0.2480
S2 S 0.0007 0.5004 0.2479
# **Calculated total energy**: -6.936 eV/atom
# **Raw formation energy**: -1.97 eV/atom

***

# BeNbTeIr2 | Alexandria via LeMat-Bulk | PBE-GGA | relaxed
data_BeNbTeIr2
_space_group_name_H-M_alt 'P 4/m m m'
_space_group_IT_number 123
_space_group_name_Hall '-P 4 2'
_cell_length_a 4.156
_cell_length_b 4.156
_cell_length_c 4.794
_cell_angle_alpha 90.00
_cell_angle_beta 90.00
_cell_angle_gamma 90.00
loop_
_atom_site_label
_atom_site_type_symbol
_atom_site_fract_x
_atom_site_fract_y
_atom_site_fract_z
Be1 Be 0.000 0.000 0.000
Nb1 Nb 0.500 0.500 0.500
Te1 Te 0.000 0.000 0.500
Ir1 Ir 0.000 0.500 0.000
# **Calculated total energy**: -6.419 eV/atom
# **Raw formation energy**: 0.51 eV/atom

***

# SrLaO4 | Alexandria via LeMat-Bulk | PBE-GGA | relaxed
data_SrLaO4
_space_group_name_H-M_alt 'C 1 m 1'
_space_group_IT_number 8
_cell_length_a 7.046
_cell_length_b 4.101
_cell_length_c 7.039
_cell_angle_alpha 90.00
_cell_angle_beta 96.74
_cell_angle_gamma 90.00
loop_
_space_group_symop_operation_xyz
'x,y,z'
'x,-y,z'
'x+1/2,y+1/2,z'
'x+1/2,-y+1/2,z'
loop_
_atom_site_label
_atom_site_type_symbol
_atom_site_fract_x
_atom_site_fract_y
_atom_site_fract_z
Sr1 Sr 0.000 0.000 0.000
La1 La 0.382 0.000 0.420
O1 O 0.043 0.000 0.376
O2 O 0.118 0.500 0.763
O3 O 0.269 0.500 0.659
O4 O 0.346 0.000 0.097
# **Calculated total energy**: -6.761 eV/atom
# **Raw formation energy**: -2.35 eV/atom

***

# VBiSeN2 | Alexandria via LeMat-Bulk | PBE-GGA | relaxed
data_VBiSeN2
_space_group_name_H-M_alt 'P 4/m m m'
_space_group_IT_number 123
_space_group_name_Hall '-P 4 2'
_cell_length_a 3.961
_cell_length_b 3.961
_cell_length_c 5.039
_cell_angle_alpha 90.00
_cell_angle_beta 90.00
_cell_angle_gamma 90.00
loop_
_atom_site_label
_atom_site_type_symbol
_atom_site_fract_x
_atom_site_fract_y
_atom_site_fract_z
V1 V 0.000 0.000 0.000
Bi1 Bi 0.500 0.500 0.500
Se1 Se 0.000 0.000 0.500
N1 N 0.000 0.500 0.000
# **Calculated total energy**: -6.251 eV/atom
# **Raw formation energy**: 0.38 eV/atom
# **ΔE to the lowest computed polymorph**: 0 meV/atom

***

# AcSmCuIr | Alexandria via LeMat-Bulk | PBE-GGA | relaxed
data_AcSmCuIr
_space_group_name_H-M_alt 'A m m 2'
_space_group_IT_number 38
_cell_length_a 4.476
_cell_length_b 4.056
_cell_length_c 10.994
_cell_angle_alpha 90.00
_cell_angle_beta 90.00
_cell_angle_gamma 90.00
loop_
_space_group_symop_operation_xyz
'x,y,z'
'-x,-y,z'
'-x,y,z'
'x,-y,z'
'x,y+1/2,z+1/2'
'-x,-y+1/2,z+1/2'
'-x,y+1/2,z+1/2'
'x,-y+1/2,z+1/2'
loop_
_atom_site_label
_atom_site_type_symbol
_atom_site_fract_x
_atom_site_fract_y
_atom_site_fract_z
Ac1 Ac 0.000 0.000 0.000
Sm1 Sm 0.500 0.000 0.724
Cu1 Cu 0.500 0.000 0.425
Ir1 Ir 0.000 0.000 0.279
# **Calculated total energy**: -5.877 eV/atom
# **ΔE to the lowest computed polymorph**: 0 meV/atom
# **Energy relative to the elements**: -0.43 eV/atom